No. 1
Compound: V2ZnAs2
Source: Alexandria
Functional: GGA-PBE
Structure: relaxed

## Properties
N(E_F), states/eV per atom: 1.147
Crystal system: tetragonal
Mass density, g cm⁻³: 6.5
E, eV per atom: -5.616

Cell and atoms, written as POSCAR:
```
V2ZnAs2
1.0
3.659 0.000 0.000
0.000 3.659 0.000
1.829 1.829 6.068
V As Zn
2 2 1
direct
0.600 0.600 0.800 V
0.400 0.400 0.200 V
0.250 0.750 0.500 As
0.750 0.250 0.500 As
0.000 0.000 0.000 Zn
```



No. 2
Compound: AlCS2
Source: Alexandria
Functional: GGA-PBE
Structure: relaxed

## Properties
Uncorrected formation energy, eV per atom: 1.34
N(E_F), states/eV per atom: 0.706
Crystal system: cubic
Mass density, g cm⁻³: 3.2

Cell and atoms, written as POSCAR:
```
AlCS2
1.0
0.000 3.000 3.000
3.000 0.000 3.000
3.000 3.000 0.000
C S Al
1 2 1
direct
0.000 0.000 0.000 C
0.750 0.750 0.750 S
0.250 0.250 0.250 S
0.500 0.500 0.500 Al
```



No. 3
Compound: Sc5BS4
Source: Alexandria
Functional: GGA-PBE
Structure: relaxed

## Properties
Uncorrected formation energy, eV per atom: -1.65
N(E_F), states/eV per atom: 0.324
Crystal system: tetragonal
Mass density, g cm⁻³: 3.5

Cell and atoms, written as POSCAR:
```
Sc5BS4
1.0
-3.878 -2.436 2.380
1.308 -6.006 1.581
0.084 0.573 6.320
B S Sc
1 4 5
direct
0.001 0.000 0.000 B
0.596 0.602 0.207 S
0.198 0.207 0.398 S
0.804 0.793 0.602 S
0.406 0.398 0.793 S
0.501 0.000 0.000 Sc
0.276 0.817 0.633 Sc
0.093 0.633 0.183 Sc
0.726 0.183 0.367 Sc
0.909 0.367 0.817 Sc
```